1.
## TbY4Sc4 (PBE)

Data for an optimized crystal structure of TbY4Sc4.

Calculated values
E_form = 0.060 eV/atom

a = 4.8450 Å, b = 7.6830 Å, c = 7.6830 Å
α = 84.29°, β = 71.62°, γ = 71.62°
Element x y z (fractional)
Tb: 0.0000 0.0000 0.0000
Y: 0.6727 0.3273 0.3273
Y: 0.3273 0.6727 0.6727
Y: 0.0000 0.6727 0.3273
Y: 0.0000 0.3273 0.6727
Sc: 0.6662 0.6676 0.0000
Sc: 0.3338 0.3324 0.0000
Sc: 0.6662 0.0000 0.6676
Sc: 0.3338 0.0000 0.3324

***

2.
## TlCuHg2Br6 (PBE)

Data for an optimized crystal structure of TlCuHg2Br6.

Calculated values
E_form (uncorrected) = -0.474 eV/atom

a = 8.0741 Å, b = 10.1867 Å, c = 10.1867 Å
α = 90.44°, β = 74.48°, γ = 74.48°
Each line ends with the local moment (μB).
Element x y z (fractional)
Tl: 0.2500 0.8880 0.1120  0.00
Tl: 0.7500 0.1120 0.8880  0.00
Cu: 0.2500 0.1976 0.8024  0.10
Cu: 0.7500 0.8024 0.1976  0.10
Hg: 0.3485 0.7544 0.6002  0.00
Hg: 0.1515 0.3998 0.2456  0.00
Hg: 0.6515 0.2456 0.3998  0.00
Hg: 0.8485 0.6002 0.7544  0.00
Br: 0.1881 0.9675 0.8030  0.01
Br: 0.3119 0.1970 0.0325  0.01
Br: 0.8119 0.0325 0.1970  0.01
Br: 0.6881 0.8030 0.9675  0.01
Br: 0.4598 0.8551 0.3634  0.00
Br: 0.0402 0.6366 0.1449  0.00
Br: 0.5402 0.1449 0.6366  0.00
Br: 0.9598 0.3634 0.8551  0.00
Br: 0.0347 0.7110 0.5569  0.00
Br: 0.4653 0.4431 0.2890  0.00
Br: 0.9653 0.2890 0.4431  0.00
Br: 0.5347 0.5569 0.7110  0.00

***

3.
## ReRu3O (PBE)

Data for an optimized crystal structure of ReRu3O.

Calculated values
E_form (uncorrected) = 2.153 eV/atom

a = 4.7009 Å, b = 4.7009 Å, c = 4.7009 Å
α = 90.00°, β = 90.00°, γ = 90.00°
Each line ends with the local moment (μB).
Element x y z (fractional)
Re: 0.0000 0.0000 0.0000  -0.17
O: 0.5000 0.5000 0.5000  1.03
Ru: 0.0000 0.5000 0.0000  1.30
Ru: 0.0000 0.0000 0.5000  1.21
Ru: 0.5000 0.0000 0.0000  1.11

***

4.
## Sr2MgGaPt (PBE)

Data for an optimized crystal structure of Sr2MgGaPt.

Calculated values
E_form = -0.408 eV/atom

a = 5.9355 Å, b = 5.9355 Å, c = 4.8258 Å
α = 90.00°, β = 90.00°, γ = 90.00°
Element x y z (fractional)
Sr: 0.0000 0.5000 0.0000
Sr: 0.5000 0.0000 0.0000
Mg: 0.5000 0.5000 0.5000
Ga: 0.0000 0.0000 0.5000
Pt: 0.0000 0.0000 0.0000

***

5.
## Re2OsAu (PBE)

Data for an optimized crystal structure of Re2OsAu.

Calculated values
E_form = 0.462 eV/atom

a = 4.9053 Å, b = 4.9053 Å, c = 4.9053 Å
α = 133.53°, β = 133.52°, γ = 67.83°
Element x y z (fractional)
Au: 0.7500 0.2500 0.5000
Os: 0.2500 0.7500 0.5000
Re: 0.0000 0.0000 0.0000
Re: 0.5000 0.5000 0.0000

***

6.
## Ce2CrSi3Pt12 (PBE)

Data for an optimized crystal structure of Ce2CrSi3Pt12.

Calculated values
E_form (uncorrected) = -0.477 eV/atom

a = 7.6499 Å, b = 7.6499 Å, c = 7.6499 Å
α = 64.68°, β = 64.68°, γ = 64.68°
Each line ends with the local moment (μB).
Element x y z (fractional)
Ce: 0.6135 0.6135 0.6135  0.30
Ce: 0.3865 0.3865 0.3865  0.30
Cr: 0.0000 0.0000 0.0000  2.98
Si: 0.5000 0.0000 0.0000  -0.01
Si: 0.0000 0.5000 0.0000  -0.01
Si: 0.0000 0.0000 0.5000  -0.01
Pt: 0.3591 0.3591 0.8944  -0.01
Pt: 0.8648 0.8648 0.3789  -0.01
Pt: 0.3789 0.8648 0.8648  -0.01
Pt: 0.8944 0.3591 0.3591  -0.01
Pt: 0.8648 0.3789 0.8648  -0.01
Pt: 0.3591 0.8944 0.3591  -0.01
Pt: 0.6409 0.6409 0.1056  -0.01
Pt: 0.1352 0.1352 0.6211  -0.01
Pt: 0.6211 0.1352 0.1352  -0.01
Pt: 0.1056 0.6409 0.6409  -0.01
Pt: 0.1352 0.6211 0.1352  -0.01
Pt: 0.6409 0.1056 0.6409  -0.01

***

7.
## ScHRh2Pb (PBE)

Data for an optimized crystal structure of ScHRh2Pb.

Calculated values
final energy = -6.031 eV/atom

a = 4.2165 Å, b = 4.2165 Å, c = 4.0880 Å
α = 90.00°, β = 90.00°, γ = 90.00°
Element x y z (fractional)
Pb: 0.5000 0.5000 0.5000
Sc: 0.0000 0.0000 0.5000
Rh: 0.0000 0.5000 0.0000
Rh: 0.5000 0.0000 0.0000
H: 0.0000 0.0000 0.0000

***

8.
## RbCrCl3 (PBE)

Data for an optimized crystal structure of RbCrCl3.

Calculated values
E_form (uncorrected) = -1.324 eV/atom

a = 8.3516 Å, b = 4.7205 Å, c = 9.1580 Å
α = 89.99°, β = 111.22°, γ = 90.01°
Each line ends with the local moment (μB).
Element x y z (fractional)
Cr: 0.8191 0.7406 0.9310  3.61
Cr: 0.8090 0.2406 0.5330  3.61
Rb: 0.3082 0.2405 0.9785  0.00
Rb: 0.3199 0.7407 0.4856  0.00
Cl: 0.8264 0.2405 0.8715  -0.03
Cl: 0.5232 0.7405 0.8738  0.00
Cl: 0.1049 0.2406 0.5903  0.00
Cl: 0.1074 0.7405 0.0960  -0.01
Cl: 0.5207 0.2407 0.3681  -0.01
Cl: 0.8018 0.7407 0.5925  -0.03

***

9.
## TiZn2I8 (PBE)

Data for an optimized crystal structure of TiZn2I8.

Calculated values
E_form (uncorrected) = -0.565 eV/atom

a = 7.1717 Å, b = 8.5809 Å, c = 8.5809 Å
α = 71.80°, β = 92.38°, γ = 92.38°
Element x y z (fractional)
Ti: 0.0000 0.0000 0.0000
Zn: 0.8320 0.7901 0.7901
Zn: 0.1680 0.2099 0.2099
I: 0.2330 0.8866 0.2775
I: 0.2330 0.2775 0.8866
I: 0.7670 0.1134 0.7225
I: 0.3079 0.3770 0.3770
I: 0.7670 0.7225 0.1134
I: 0.2047 0.8338 0.8338
I: 0.7953 0.1662 0.1662
I: 0.6921 0.6230 0.6230

***

10.
## CaHf2ZrSn (PBE)

Data for an optimized crystal structure of CaHf2ZrSn.

Calculated values
E_form = 0.630 eV/atom

a = 5.1745 Å, b = 5.5795 Å, c = 5.1745 Å
α = 90.00°, β = 90.00°, γ = 90.00°
Element x y z (fractional)
Ca: 0.5000 0.5000 0.5000
Hf: 0.0000 0.0000 0.5000
Hf: 0.5000 0.0000 0.0000
Sn: 0.0000 0.5000 0.0000
Zr: 0.0000 0.0000 0.0000

***

11.
## Li3TaAu (PBE)

Data for an optimized crystal structure of Li3TaAu.

Calculated values
E_form = 0.817 eV/atom

a = 4.4989 Å, b = 4.4989 Å, c = 4.4989 Å
α = 90.00°, β = 90.00°, γ = 90.00°
Element x y z (fractional)
Li: 0.0000 0.5000 0.0000
Li: 0.0000 0.0000 0.5000
Li: 0.5000 0.0000 0.0000
Au: 0.0000 0.0000 0.0000
Ta: 0.5000 0.5000 0.5000

***

12.
## CsKNaLi (PBE)

Data for an optimized crystal structure of CsKNaLi.

Calculated values
E_form = 0.135 eV/atom

a = 6.8991 Å, b = 6.8991 Å, c = 6.8991 Å
α = 60.00°, β = 60.00°, γ = 60.00°
Element x y z (fractional)
Cs: 0.0000 0.0000 0.0000
Na: 0.2500 0.2500 0.2500
K: 0.5000 0.5000 0.5000
Li: 0.7500 0.7500 0.7500

***

13.
## AlAgPd (PBE)

Data for an optimized crystal structure of AlAgPd.

Calculated values
E_form = -0.457 eV/atom

a = 3.1217 Å, b = 3.1217 Å, c = 5.3486 Å
α = 106.97°, β = 106.97°, γ = 90.00°
Element x y z (fractional)
Pd: 0.3120 0.3120 0.6239
Ag: 0.0077 0.0077 0.0155
Al: 0.6803 0.6803 0.3606

***

14.
## Ta3GaSn (PBE)

Data for an optimized crystal structure of Ta3GaSn.

Calculated values
E_form = 1.084 eV/atom

a = 4.7490 Å, b = 4.7490 Å, c = 4.7490 Å
α = 90.00°, β = 90.00°, γ = 90.00°
Element x y z (fractional)
Sn: 0.5000 0.5000 0.5000
Ga: 0.0000 0.0000 0.0000
Ta: 0.0000 0.5000 0.0000
Ta: 0.0000 0.0000 0.5000
Ta: 0.5000 0.0000 0.0000

***

15.
## GaP2SN (PBE)

Data for an optimized crystal structure of GaP2SN.

Calculated values
E_form (uncorrected) = 1.843 eV/atom

a = 4.7658 Å, b = 4.7658 Å, c = 4.7266 Å
α = 90.00°, β = 90.00°, γ = 90.00°
Each line ends with the local moment (μB).
Element x y z (fractional)
P: 0.0000 0.5000 0.0000  -0.19
P: 0.5000 0.0000 0.0000  -0.19
S: 0.0000 0.0000 0.5000  0.08
Ga: 0.0000 0.0000 0.0000  0.01
N: 0.5000 0.5000 0.5000  1.70

***

16.
## EuGe2Pb (PBE)

Data for an optimized crystal structure of EuGe2Pb.

Calculated values
E_form = -0.288 eV/atom

a = 4.4024 Å, b = 4.6957 Å, c = 4.6957 Å
α = 90.00°, β = 90.00°, γ = 90.00°
Each line ends with the local moment (μB).
Element x y z (fractional)
Pb: 0.5000 0.0000 0.0000  0.01
Eu: 0.5000 0.5000 0.5000  6.72
Ge: 0.0000 0.0000 0.5000  -0.01
Ge: 0.0000 0.5000 0.0000  -0.01

***

17.
## Sr3CdGa (PBE)

Data for an optimized crystal structure of Sr3CdGa.

Calculated values
E_form = -0.293 eV/atom

a = 5.7094 Å, b = 5.7065 Å, c = 11.3776 Å
α = 90.00°, β = 75.47°, γ = 90.00°
Element x y z (fractional)
Sr: 0.7492 0.2500 0.1500
Sr: 0.4001 0.2500 0.8482
Sr: 0.5746 0.2500 0.4991
Sr: 0.2483 0.7500 0.1518
Sr: 0.8992 0.7500 0.8500
Sr: 0.0737 0.7500 0.5009
Cd: 0.4853 0.7500 0.6778
Cd: 0.1630 0.2500 0.3222
Ga: 0.6666 0.7500 0.3151
Ga: 0.9817 0.2500 0.6849

***

18.
## HfGePCl2 (PBE)

Data for an optimized crystal structure of HfGePCl2.

Calculated values
E_form (uncorrected) = 0.359 eV/atom

a = 4.7315 Å, b = 4.7315 Å, c = 5.0642 Å
α = 90.00°, β = 90.00°, γ = 90.00°
Each line ends with the local moment (μB).
Element x y z (fractional)
P: 0.0000 0.0000 0.5000  -0.03
Ge: 0.0000 0.0000 0.0000  0.01
Hf: 0.5000 0.5000 0.5000  0.82
Cl: 0.0000 0.5000 0.0000  0.00
Cl: 0.5000 0.0000 0.0000  0.00

***

19.
## TaP2Pt (PBE)

Data for an optimized crystal structure of TaP2Pt.

Calculated values
E_form = -0.361 eV/atom

a = 4.2595 Å, b = 4.2595 Å, c = 3.2195 Å
α = 90.00°, β = 90.00°, γ = 90.00°
Element x y z (fractional)
P: 0.0000 0.0000 0.0000
P: 0.5000 0.5000 0.0000
Pt: 0.5000 0.0000 0.5000
Ta: 0.0000 0.5000 0.5000

***

20.
## Mo2PbBr (PBE)

Data for an optimized crystal structure of Mo2PbBr.

Calculated values
E_form (uncorrected) = 0.880 eV/atom

a = 9.0720 Å, b = 9.0720 Å, c = 9.0720 Å
α = 19.98°, β = 19.98°, γ = 19.98°
Each line ends with the local moment (μB).
Element x y z (fractional)
Pb: 0.2500 0.2500 0.2500  0.00
Mo: 0.0038 0.0038 0.0038  0.70
Mo: 0.4962 0.4962 0.4962  0.70
Br: 0.7500 0.7500 0.7500  0.01